No. 1
Computed, not measured: a geometry-optimized SrHgSO structure at the PBE level of DFT.

```
SrHgSO
1.0
-0.1734 -2.4979 3.0899
-1.0224 -2.9606 -2.4508
10.5989 -2.4878 -1.4163
Hg O S Sr
2 2 2 2
Cartesian
-0.3857 -2.6136 1.7047
-0.8102 -2.8450 -1.0656
4.1413 -2.4069 -0.4335
5.2617 -5.5395 -0.3436
2.4375 -2.0069 -0.2059
6.9655 -5.9394 -0.5713
2.9236 -4.9907 -0.0312
6.4794 -2.9557 -0.7460
```

Summary:
For the volume, the calculation gives 21.71 Å³/atom. As for the electronic total energy: -31.8 eV for the cell shown.

***

No. 2
Computed, not measured: a geometry-optimized SrHgSO structure at the PBE level of DFT.

```
SrHgSO
1.0
2.6303 -2.6183 1.3036
4.5405 4.3787 -0.3667
0.0422 0.5363 6.9270
Hg O S Sr
2 2 2 2
Cartesian
3.4298 -1.0371 2.8664
3.7832 3.3337 4.9975
0.0000 0.0000 0.0000
2.2702 2.1893 -0.1833
1.8344 0.6784 3.5962
5.3786 1.6183 4.2677
4.5089 2.2816 1.4200
2.7041 0.0150 6.4438
```

Summary:
For the volume, the calculation gives 20.70 Å³/atom. As for the electronic total energy: -31.8 eV for the cell shown.

***

No. 3
Computed, not measured: a geometry-optimized SrHgSO structure at the PBE level of DFT.

```
SrHgSO
1.0
-3.7850 2.0744 -6.1401
-5.7574 0.9734 3.8779
1.7521 6.2518 1.0320
Hg O S Sr
4 4 4 4
Cartesian
-3.9660 1.8434 -2.4776
-5.3418 4.4386 1.1634
-6.4292 5.9515 -2.2422
0.1563 6.3654 1.0960
-4.6926 2.7844 0.0744
-2.3722 3.1184 -2.8994
-1.3303 5.0317 1.6918
-7.1856 7.6645 -1.3272
-5.9412 3.9394 -3.3759
0.0640 1.7627 -0.2490
-3.7474 6.3770 -0.9277
-5.9561 6.5200 2.0922
-7.2073 2.5235 -0.9431
-2.2662 3.7866 -0.2594
-3.1752 5.3166 -3.7692
-2.9319 6.9723 2.5114
```

Summary:
For the volume, the calculation gives 21.62 Å³/atom. As for the electronic total energy: -65.8 eV for the cell shown.

***

No. 4
Computed, not measured: a geometry-optimized TmHgSO structure at the PBE level of DFT.

```
TmHgSO
1.0
5.5003 0.0000 0.0163
0.0000 5.5041 0.0000
-0.3786 0.0000 13.1807
Hg O S Tm
4 4 4 4
Cartesian
-0.0651 1.8292 3.4084
3.4487 3.3359 6.5845
1.6729 0.5839 6.6126
5.1868 4.5812 9.7887
4.1243 0.4087 0.0122
1.3759 3.1608 0.0041
4.1451 3.1571 0.0140
0.9766 0.4051 13.1831
3.7866 3.4735 3.0954
1.5898 0.1826 3.1062
3.5319 2.9346 10.0908
1.3350 0.7215 10.1016
2.7391 1.7852 1.0623
-0.0059 4.5416 1.0713
5.1275 1.7895 12.1258
2.3826 4.5373 12.1347
```

Summary:
For the volume, the calculation gives 24.94 Å³/atom. As for the electronic total energy: -85.6 eV for the cell shown.

***

No. 5
Computed, not measured: a geometry-optimized TmHgSO structure at the PBE level of DFT.

```
TmHgSO
1.0
-5.9726 -4.5753 3.4318
5.8476 -5.8605 2.3637
0.6851 2.5188 4.5504
Hg O S Tm
4 4 4 4
Cartesian
-0.1337 -0.1679 2.8270
1.6415 -7.2275 6.4675
-0.8091 0.3118 5.6871
0.9661 -6.7479 9.3276
-5.0191 -4.8095 4.1375
2.4554 -7.0200 4.2358
-2.0747 -1.5570 4.9177
5.3997 -3.7675 5.0160
-1.2252 -4.8607 3.4299
2.9656 -3.7803 2.2009
-2.6223 -4.9339 6.7047
1.5685 -3.8535 5.4757
-3.4352 -5.9960 4.3837
1.3891 -5.5505 3.4108
-1.0475 -3.1698 5.4838
3.7769 -2.7243 4.5108
```

Summary:
For the volume, the calculation gives 23.34 Å³/atom. As for the electronic total energy: -78.0 eV for the cell shown.

***

No. 6
Computed, not measured: a geometry-optimized TmHgSO structure at the PBE level of DFT.

```
TmHgSO
1.0
7.0079 0.0000 0.5483
0.0000 7.1239 0.0000
-0.1051 0.0000 6.4848
Hg O S Tm
4 4 4 4
Cartesian
6.8442 2.2142 0.5653
0.1112 5.7762 3.2254
6.7916 1.3477 3.8077
0.0587 4.9097 6.4678
4.1876 2.5361 0.9104
2.7678 6.0980 2.8804
4.1351 1.0259 4.1528
2.7152 4.5879 6.1227
5.2318 6.6295 0.7104
1.7236 3.0676 3.0803
5.1792 4.0564 3.9528
1.6711 0.4944 6.3227
3.6289 4.5444 1.6291
3.3265 0.9824 2.1616
3.5763 6.1415 4.8715
3.2740 2.5796 5.4040
```

Summary:
For the volume, the calculation gives 20.26 Å³/atom. As for the electronic total energy: -83.7 eV for the cell shown.

***

No. 7
Computed, not measured: a geometry-optimized TmHgSO structure at the PBE level of DFT.

```
TmHgSO
1.0
3.8924 0.0000 0.0000
0.0000 3.8924 0.0000
0.0000 0.0000 9.9396
Hg O S Tm
2 2 2 2
Cartesian
2.9193 0.9731 4.9698
0.9731 2.9193 4.9698
2.9193 0.9731 0.0000
0.9731 2.9193 0.0000
2.9193 2.9193 2.5630
0.9731 0.9731 7.3765
0.9731 0.9731 1.0660
2.9193 2.9193 8.8736
```

Summary:
For the volume, the calculation gives 18.82 Å³/atom. As for the electronic total energy: -41.5 eV for the cell shown.

***

No. 8
Computed, not measured: a geometry-optimized TmHgSO structure at the PBE level of DFT.

```
TmHgSO
1.0
-1.0251 -2.8369 -3.3166
5.8282 -5.5292 2.9281
-3.6883 -2.2602 3.0733
Hg O S Tm
2 2 2 2
Cartesian
1.3439 -1.9881 1.2852
1.7267 -5.2309 3.9407
-0.6784 -2.3036 -0.8500
2.3021 -8.0108 3.1106
3.5697 -4.1365 2.4349
-0.5462 -3.1114 2.8302
4.2947 -6.3015 1.0327
-1.7488 -3.4478 0.4596
```

Summary:
For the volume, the calculation gives 25.43 Å³/atom. As for the electronic total energy: -40.8 eV for the cell shown.

***

No. 9
Computed, not measured: a geometry-optimized ZnHgSO structure at the PBE level of DFT.

```
ZnHgSO
1.0
-2.8929 -1.4702 -3.0839
-1.9126 -2.6514 3.0582
-4.9888 5.8046 1.9126
Hg O S Zn
2 2 2 2
Cartesian
-5.2057 -1.2278 0.5948
-4.5886 2.9108 1.2922
-2.8693 0.9103 0.6330
-6.9250 0.7727 1.2539
-1.8960 -0.2222 0.2599
-7.8983 1.9052 1.6270
-2.6479 -1.7655 -1.5483
-2.1577 -2.3561 1.5227
```

Summary:
For the volume, the calculation gives 19.76 Å³/atom. As for the electronic total energy: -23.1 eV for the cell shown.

***

No. 10
Computed, not measured: a geometry-optimized ZnHgSO structure at the PBE level of DFT.

```
ZnHgSO
1.0
-1.8527 -3.4619 -0.6446
2.0833 -1.6648 2.9531
-6.5005 2.3756 5.9252
Hg O S Zn
2 2 2 2
Cartesian
-0.6320 -3.5508 2.4651
-5.6378 0.7997 5.7686
-0.8418 -0.9530 1.3969
-5.4281 -1.7982 6.8367
-4.1189 -1.8248 3.2174
-2.1509 -0.9263 5.0162
-2.1728 -0.4666 2.6102
-4.0971 -2.2846 5.6235
```

Summary:
For the volume, the calculation gives 18.03 Å³/atom. As for the electronic total energy: -22.0 eV for the cell shown.

***

No. 11
Computed, not measured: a geometry-optimized ZnHgSO structure at the PBE level of DFT.

```
ZnHgSO
1.0
3.4252 0.0000 0.0000
0.0000 3.4252 0.0000
0.0000 0.0000 10.6234
Hg O S Zn
2 2 2 2
Cartesian
0.8563 0.8563 3.0374
2.5689 2.5689 7.5860
0.8563 0.8563 0.8178
2.5689 2.5689 9.8057
2.5689 0.8563 5.3117
0.8563 2.5689 5.3117
2.5689 2.5689 1.1037
0.8563 0.8563 9.5197
```

Summary:
For the volume, the calculation gives 15.58 Å³/atom. As for the electronic total energy: -21.0 eV for the cell shown.

***

No. 12
Computed, not measured: a geometry-optimized ZnHgSO structure at the PBE level of DFT.

```
ZnHgSO
1.0
-2.7303 -3.4112 -5.6552
-7.9663 -5.7958 7.3420
-4.4766 5.0399 -0.8787
Hg O S Zn
8 8 8 8
Cartesian
-4.1999 -1.7146 -1.1756
-6.9860 -3.1169 4.9749
-5.6348 -3.3417 -4.0169
-8.4209 -4.7439 2.1336
-6.7523 0.5769 -1.3255
-9.5383 -0.8254 4.8250
-8.1872 -1.0502 -4.1668
-10.9732 -2.4525 1.9837
-4.6841 -3.7006 -2.0982
-8.7770 -6.7355 1.3456
-4.7509 -0.3829 0.4483
-8.8437 -3.4179 3.8921
-6.3295 -0.7492 -3.0840
-10.4223 -3.7842 0.3597
-6.3962 2.5684 -0.5375
-10.4890 -0.4665 2.9063
-1.4562 0.8222 -0.4081
-6.4325 -3.3166 1.2058
-2.9244 -0.7674 -3.2559
-7.9007 -4.9061 -1.6421
-7.2724 0.7390 2.4502
-12.2487 -3.3997 4.0640
-8.7406 -0.8505 -0.3977
-13.7170 -4.9893 1.2162
-5.7994 -4.6032 -0.7425
-10.0572 -7.8443 2.3596
-6.0110 -1.1224 1.7756
-10.2688 -4.3634 4.8777
-4.9043 0.1964 -4.0696
-9.1621 -3.0447 -0.9675
-5.1160 3.6772 -1.5515
-9.3738 0.4361 1.5506
```

Summary:
For the volume, the calculation gives 18.65 Å³/atom. As for the electronic total energy: -100.6 eV for the cell shown.

***

No. 13
Computed, not measured: a geometry-optimized ZnHgSO structure at the PBE level of DFT.

```
ZnHgSO
1.0
-3.6301 0.0000 0.0000
0.0000 0.0000 -5.9307
-1.8150 -6.0835 0.0000
Hg O S Zn
2 2 2 2
Cartesian
-1.8150 -1.2864 -4.4481
-3.6301 -4.7970 -1.4827
0.0000 0.0000 0.0000
0.0000 0.0000 -2.9654
-1.8150 -2.7056 -1.4827
-3.6301 -3.3779 -4.4481
-3.6301 -1.2991 -1.4827
-1.8150 -4.7844 -4.4481
```

Summary:
For the volume, the calculation gives 16.37 Å³/atom. As for the electronic total energy: -23.9 eV for the cell shown.

***

No. 14
Computed, not measured: a geometry-optimized ZnHgSO structure at the PBE level of DFT.

```
ZnHgSO
1.0
5.8077 0.0000 0.0000
0.0000 3.7487 0.0000
0.0000 0.0000 13.0804
Hg O S Zn
4 4 4 4
Cartesian
1.1549 2.8115 1.3369
4.0587 2.8115 5.2033
1.7489 0.9372 7.8771
4.6528 0.9372 11.7435
1.9428 0.9372 2.4822
4.8466 0.9372 4.0580
0.9610 2.8115 9.0224
3.8649 2.8115 10.5981
4.4557 2.8115 0.9967
1.5518 2.8115 5.5434
4.2558 0.9372 7.5369
1.3520 0.9372 12.0836
3.9229 0.9372 2.3261
1.0190 0.9372 4.2141
4.7887 2.8115 8.8663
1.8848 2.8115 10.7543
```

Summary:
For the volume, the calculation gives 17.80 Å³/atom. As for the electronic total energy: -51.9 eV for the cell shown.

***

No. 15
Computed, not measured: a geometry-optimized ZnHgSO structure at the PBE level of DFT.

```
ZnHgSO
1.0
-0.9161 -2.8231 5.4403
5.9038 -4.3792 -1.2782
4.0586 4.5786 3.0594
Hg O S Zn
4 4 4 4
Cartesian
3.0281 -4.7508 3.4072
2.4144 1.0058 2.6255
3.6976 -1.3855 5.1305
8.9524 -0.1166 3.2798
0.7457 -1.4568 1.9761
5.0706 -2.5655 3.9757
7.1459 -1.5746 1.3096
5.1303 0.3497 7.1816
5.0940 -5.9130 3.8474
3.8958 -0.4633 1.4172
2.3967 0.6397 5.2669
6.7061 0.4893 3.9114
2.0671 -1.8009 0.5955
6.0979 -3.9637 4.8477
5.7489 -1.3158 2.6332
4.1785 1.8331 6.3665
```

Summary:
For the volume, the calculation gives 19.77 Å³/atom. As for the electronic total energy: -52.3 eV for the cell shown.

***

No. 16
Computed, not measured: a geometry-optimized ZnHgSO structure at the PBE level of DFT.

```
ZnHgSO
1.0
7.5502 0.0000 0.0000
0.0000 13.9444 0.0000
0.0000 0.0000 6.2869
Hg O S Zn
8 8 8 8
Cartesian
2.9372 6.1022 1.5682
0.8380 13.0744 1.5682
6.7123 6.1022 1.5752
4.6131 13.0744 1.5752
2.9372 0.8699 4.7117
0.8380 7.8421 4.7117
6.7123 0.8699 4.7187
4.6131 7.8421 4.7187
3.0570 4.1618 0.8942
0.7181 11.1340 0.8942
6.8321 4.1618 2.2493
4.4932 11.1340 2.2493
3.0570 2.8104 4.0376
0.7181 9.7826 4.0376
6.8321 2.8104 5.3927
4.4932 9.7826 5.3927
4.6457 1.4103 1.0189
6.6796 8.3825 1.0189
0.8706 1.4103 2.1246
2.9045 8.3825 2.1246
4.6457 5.5619 4.1623
6.6796 12.5341 4.1623
0.8706 5.5619 5.2680
2.9045 12.5341 5.2680
6.7059 2.6451 1.0609
4.6194 9.6173 1.0609
2.9308 2.6451 2.0825
0.8443 9.6173 2.0825
6.7059 4.3271 4.2044
4.6194 11.2993 4.2044
2.9308 4.3271 5.2260
0.8443 11.2993 5.2260
```

Summary:
For the volume, the calculation gives 20.68 Å³/atom. As for the electronic total energy: -104.2 eV for the cell shown.

***

No. 17
Computed, not measured: a geometry-optimized ZnHgSO structure at the PBE level of DFT.

```
ZnHgSO
1.0
-7.0726 -0.2399 0.4948
-6.3504 -2.5618 -1.8531
0.4397 -4.1731 4.2622
Hg O S Zn
2 2 2 2
Cartesian
-12.3882 -4.3330 0.4745
-0.4548 -3.9747 3.7909
-12.2089 -2.6001 -1.1841
-0.9837 -2.3897 2.0607
-9.3174 -2.1225 -0.7670
-3.8492 -3.1137 1.8952
-8.7650 -3.6591 0.9225
-4.0610 -4.8097 3.5074
```

Summary:
For the volume, the calculation gives 17.41 Å³/atom. As for the electronic total energy: -25.1 eV for the cell shown.

***

No. 18
Computed, not measured: a geometry-optimized ZnHgSO structure at the PBE level of DFT.

```
ZnHgSO
1.0
3.7686 0.0000 0.0000
-1.8843 3.2639 0.0000
0.0000 0.0000 11.4081
Hg O S Zn
2 2 2 2
Cartesian
0.0000 2.1758 3.0525
1.8843 1.0881 8.7565
0.0000 0.0000 3.7867
0.0000 0.0000 9.4907
1.8843 1.0881 0.9654
0.0000 2.1758 6.6694
0.0000 0.0000 0.0406
0.0000 0.0000 5.7447
```

Summary:
For the volume, the calculation gives 17.54 Å³/atom. As for the electronic total energy: -25.4 eV for the cell shown.

***

No. 19
Computed, not measured: a geometry-optimized ZnHgSO structure at the PBE level of DFT.

```
ZnHgSO
1.0
5.3575 3.3302 -2.4957
-6.4156 -2.0422 -0.8310
-1.8896 4.9169 2.5047
Hg O S Zn
2 2 2 2
Cartesian
-3.1502 1.9271 -0.3328
-0.4739 6.0380 0.4075
-5.7999 -1.3964 -0.7768
3.5584 5.7637 -0.9813
0.5617 4.0226 -0.7022
-4.4485 4.6259 1.1250
-6.3647 0.3041 0.0613
2.8427 7.3953 -0.1219
```

Summary:
For the volume, the calculation gives 17.70 Å³/atom. As for the electronic total energy: -26.0 eV for the cell shown.

***

No. 20
Computed, not measured: a geometry-optimized ZnHgSO structure at the PBE level of DFT.

```
ZnHgSO
1.0
3.9710 0.0000 0.0000
0.0000 3.9710 0.0000
0.0000 0.0000 8.8284
Hg O S Zn
2 2 2 2
Cartesian
2.9783 0.9927 0.0000
0.9927 2.9783 0.0000
0.9927 0.9927 4.3993
2.9783 2.9783 4.4291
0.9927 0.9927 2.8597
2.9783 2.9783 5.9687
2.9783 2.9783 2.4970
0.9927 0.9927 6.3314
```

Summary:
For the volume, the calculation gives 17.40 Å³/atom. As for the electronic total energy: -22.4 eV for the cell shown.